Na2Be2CoO4 | the Alexandria database | GGA+U | relaxed; space group = No. 12; E_tot = -51.5 eV per cell; M_tot = 1.0 μB/cell
1.0
6.012 -1.428 0.000
6.012 1.428 0.000
-1.737 0.000 5.134
Na Be Co O
2 2 1 4
Cartesian
1.440 0.000 0.114 Na
8.847 0.000 5.020 Na
2.995 0.000 2.566 Be
7.292 0.000 2.568 Be
-0.869 0.000 2.567 Co
1.482 0.000 3.416 O
4.255 0.000 3.571 O
6.031 0.000 1.563 O
8.805 0.000 1.718 O